(1)
A geometry-optimized K2As2Au structure. Source: the Alexandria database, functional PBE.

Output
Calculated volume, Å³ per cell: 262
D(E_F), states/eV/cell: 4.09
Energy of formation, eV per atom: -0.331
Energy, eV/atom: -3.28

a = 6.9417 Å, b = 6.9417 Å, c = 5.4382 Å
α = 90.00°, β = 90.00°, γ = 90.00°
Last column: nearest neighbours and their distance in Å.
Fractional coordinates of all 10 atoms:
Au  0.0000  0.0000  0.0000  4 As 2.71
Au  0.5000  0.5000  0.0000  4 As 2.71
As  0.3678  0.8678  0.0000  1 As 2.60, 2 Au 2.71
As  0.8678  0.6322  0.0000  1 As 2.60, 2 Au 2.71
As  0.1322  0.3678  0.0000  1 As 2.60, 2 Au 2.71
As  0.6322  0.1322  0.0000  1 As 2.60, 2 Au 2.71
K  0.1723  0.6723  0.5000  6 As 3.33-3.46, 5 K 3.38-3.63
K  0.3277  0.1723  0.5000  6 As 3.33-3.46, 5 K 3.38-3.63
K  0.8277  0.3277  0.5000  6 As 3.33-3.46, 5 K 3.38-3.63
K  0.6723  0.8277  0.5000  6 As 3.33-3.46, 5 K 3.38-3.63



(2)
A geometry-optimized Sr2TaTlRe structure. Source: the Alexandria database, functional PBE.

Output
Calculated volume, Å³ per cell: 191
D(E_F), states/eV/cell: 7.66
Energy of formation, eV per atom: 1.924
Energy, eV/atom: -4.08

a = 5.9921 Å, b = 5.3261 Å, c = 5.9921 Å
α = 90.00°, β = 90.00°, γ = 90.00°
Last column: nearest neighbours and their distance in Å.
Fractional coordinates of all 5 atoms:
Sr  0.0000  0.0000  0.5000  2 Tl 3.00
Sr  0.5000  0.0000  0.0000  2 Tl 3.00
Ta  0.0000  0.5000  0.0000  2 Tl 2.66
Re  0.5000  0.5000  0.5000  8 Sr 4.01, 4 Ta 4.24
Tl  0.0000  0.0000  0.0000  2 Ta 2.66



(3)
A geometry-optimized HfSn2Pt structure. Source: the Alexandria database, functional PBE.

Output
Calculated volume, Å³ per cell: 88
D(E_F), states/eV/cell: 3.83
Offset from the most stable computed form, kJ/mol of formula units: 54
Energy of formation, eV per atom: -0.020
Energy, eV/atom: -6.02

a = 3.1594 Å, b = 3.1594 Å, c = 10.3814 Å
α = 81.25°, β = 81.25°, γ = 60.00°
Last column: nearest neighbours and their distance in Å.
Fractional coordinates of all 4 atoms:
Sn  0.9149  0.9149  0.2554  1 Pt 2.61
Sn  0.0851  0.0851  0.7446  1 Pt 2.61
Pt  0.0000  0.0000  0.0000  2 Sn 2.61
Hf  0.5000  0.5000  0.5000  6 Sn 3.09, 6 Hf 3.16



(4)
A geometry-optimized MnNbReSi2 structure. Source: the Alexandria database, functional PBE.

Output
Calculated volume, Å³ per cell: 83
D(E_F), states/eV/cell: 5.15
E_form (uncorrected), eV/atom: 0.90
Energy, eV/atom: -7.60

a = 4.2416 Å, b = 4.6246 Å, c = 4.2416 Å
α = 90.00°, β = 90.00°, γ = 90.00°
Last column: nearest neighbours and their distance in Å.
Fractional coordinates of all 5 atoms:
Re  0.5000  0.5000  0.5000  4 Nb 3.00, 8 Si 3.14
Si  0.5000  0.0000  0.0000  2 Mn 2.12
Si  0.0000  0.0000  0.5000  2 Mn 2.12
Mn  0.0000  0.0000  0.0000  4 Si 2.12, 2 Nb 2.31
Nb  0.0000  0.5000  0.0000  2 Mn 2.31



(5)
A geometry-optimized HoMg2Pt3 structure. Source: the Alexandria database, functional PBE.

Output
Calculated volume, Å³ per cell: 107
D(E_F), states/eV/cell: 2.36
Offset from the most stable computed form, kJ/mol of formula units: 8
Energy of formation, eV per atom: -0.965
Energy, eV/atom: -5.28

a = 4.6451 Å, b = 4.6451 Å, c = 5.7517 Å
α = 90.00°, β = 90.00°, γ = 120.00°
Last column: nearest neighbours and their distance in Å.
Fractional coordinates of all 6 atoms:
Pt  0.0000  0.0000  0.5000  6 Mg 2.83, 2 Ho 2.88
Pt  0.3333  0.6667  0.1842  5 Mg 2.73-3.02, 3 Ho 2.88
Pt  0.6667  0.3333  0.8158  5 Mg 2.73-3.02, 3 Ho 2.88
Mg  0.6667  0.3333  0.3416  8 Pt 2.73-3.02
Mg  0.3333  0.6667  0.6584  8 Pt 2.73-3.02
Ho  0.0000  0.0000  0.0000  8 Pt 2.88



(6)
A geometry-optimized MgTl2Ru structure. Source: the Alexandria database, functional PBE.

Output
Calculated volume, Å³ per cell: 85
D(E_F), states/eV/cell: 3.67
Offset from the most stable computed form, kJ/mol of formula units: 111
Energy of formation, eV per atom: 0.513
Energy, eV/atom: -3.39

a = 4.9326 Å, b = 4.9326 Å, c = 4.9326 Å
α = 60.00°, β = 60.00°, γ = 60.00°
Last column: nearest neighbours and their distance in Å.
Fractional coordinates of all 4 atoms:
Tl  0.2500  0.2500  0.2500  4 Tl 3.02, 4 Mg 3.02
Tl  0.0000  0.0000  0.0000  4 Tl 3.02, 4 Ru 3.02
Ru  0.7500  0.7500  0.7500  4 Tl 3.02, 4 Mg 3.02
Mg  0.5000  0.5000  0.5000  4 Tl 3.02, 4 Ru 3.02



(7)
A geometry-optimized Be2RePd structure. Source: the Alexandria database, functional PBE.

Output
Calculated volume, Å³ per cell: 46
D(E_F), states/eV/cell: 3.27
Offset from the most stable computed form, kJ/mol of formula units: 0
Energy of formation, eV per atom: 0.007
Energy, eV/atom: -6.27

a = 4.0194 Å, b = 4.0194 Å, c = 4.0194 Å
α = 60.00°, β = 60.00°, γ = 60.00°
Last column: nearest neighbours and their distance in Å.
Fractional coordinates of all 4 atoms:
Pd  0.0000  0.0000  0.0000  8 Be 2.46
Re  0.5000  0.5000  0.5000  8 Be 2.46
Be  0.7500  0.7500  0.7500  4 Re 2.46, 4 Pd 2.46
Be  0.2500  0.2500  0.2500  4 Re 2.46, 4 Pd 2.46



(8)
A geometry-optimized Tl4PdPt2 structure. Source: the Alexandria database, functional PBE.

Output
Calculated volume, Å³ per cell: 346
D(E_F), states/eV/cell: 4.80
Energy of formation, eV per atom: -0.094
Energy, eV/atom: -3.91

a = 7.0494 Å, b = 7.0494 Å, c = 8.4054 Å
α = 107.10°, β = 107.10°, γ = 107.37°
Last column: nearest neighbours and their distance in Å.
Fractional coordinates of all 14 atoms:
Tl  0.1963  0.1889  0.1606  3 Pt 2.76-2.85, 2 Pd 2.85-2.88
Tl  0.7859  0.2785  0.3398  3 Pt 2.76-2.85, 2 Pd 2.85-2.88
Tl  0.7194  0.7289  0.6703  3 Pt 2.79-2.89, 1 Pd 2.87
Tl  0.1889  0.1963  0.6606  3 Pt 2.76-2.85, 2 Pd 2.85-2.88
Tl  0.2785  0.7859  0.8398  3 Pt 2.76-2.85, 2 Pd 2.85-2.88
Tl  0.7993  0.3088  0.8301  3 Pt 2.78-2.89, 1 Pd 2.87
Tl  0.3088  0.7993  0.3301  3 Pt 2.78-2.89, 1 Pd 2.87
Tl  0.7289  0.7194  0.1703  3 Pt 2.79-2.89, 1 Pd 2.87
Pt  0.0048  0.7445  0.4980  6 Tl 2.76-2.89, 1 Pd 2.78
Pt  0.7445  0.0048  0.9980  6 Tl 2.76-2.89, 1 Pd 2.78
Pt  0.4967  0.2570  0.5024  6 Tl 2.76-2.89, 1 Pd 2.78
Pt  0.2570  0.4967  0.0024  6 Tl 2.76-2.89, 1 Pd 2.78
Pd  0.5011  0.2512  0.0002  2 Pt 2.78, 6 Tl 2.85-2.88
Pd  0.2512  0.5011  0.5002  2 Pt 2.78, 6 Tl 2.85-2.88



(9)
A geometry-optimized La9DySn2 structure. Source: the Alexandria database, functional PBE.

Output
Calculated volume, Å³ per cell: 397
D(E_F), states/eV/cell: 15.92
Energy of formation, eV per atom: -0.303
Energy, eV/atom: -5.05

a = 5.0677 Å, b = 5.0677 Å, c = 15.4691 Å
α = 90.00°, β = 90.00°, γ = 90.00°
Last column: nearest neighbours and their distance in Å.
Fractional coordinates of all 12 atoms:
La  0.0000  0.5000  0.8259  2 Sn 3.58, 8 La 3.58-3.70, 2 Dy 3.70
La  0.5000  0.5000  0.3377  8 La 3.57-3.58, 4 Sn 3.58
La  0.5000  0.5000  0.6623  8 La 3.57-3.58, 4 Sn 3.58
La  0.5000  0.0000  0.1741  2 Sn 3.58, 8 La 3.58-3.70, 2 Dy 3.70
La  0.5000  0.0000  0.8259  2 Sn 3.58, 8 La 3.58-3.70, 2 Dy 3.70
La  0.5000  0.5000  0.0000  4 Dy 3.58, 8 La 3.70
La  0.0000  0.5000  0.1741  2 Sn 3.58, 8 La 3.58-3.70, 2 Dy 3.70
La  0.0000  0.5000  0.5000  8 La 3.57-3.58, 4 Sn 3.57
La  0.5000  0.0000  0.5000  8 La 3.57-3.58, 4 Sn 3.57
Sn  0.0000  0.0000  0.6625  12 La 3.57-3.58
Sn  0.0000  0.0000  0.3375  12 La 3.57-3.58
Dy  0.0000  0.0000  0.0000  12 La 3.58-3.70



(10)
A geometry-optimized Pm4In2Sn structure. Source: the Alexandria database, functional PBE.

Output
Calculated volume, Å³ per cell: 220
D(E_F), states/eV/cell: 7.18
Energy of formation, eV per atom: -0.376
Energy, eV/atom: -4.44

a = 5.3787 Å, b = 5.3787 Å, c = 9.3183 Å
α = 73.23°, β = 73.23°, γ = 60.00°
Last column: nearest neighbours and their distance in Å.
Fractional coordinates of all 7 atoms:
Pm  0.8735  0.8735  0.3794  4 In 3.17-3.28, 1 Sn 3.33
Pm  0.6210  0.6210  0.1370  4 In 3.29-3.49, 3 Sn 3.33
Pm  0.3790  0.3790  0.8630  4 In 3.29-3.49, 3 Sn 3.33
Pm  0.1265  0.1265  0.6206  4 In 3.17-3.28, 1 Sn 3.33
In  0.7534  0.7534  0.7397  8 Pm 3.17-3.49
In  0.2466  0.2466  0.2603  8 Pm 3.17-3.49
Sn  0.0000  0.0000  0.0000  8 Pm 3.33



(11)
A geometry-optimized KTcW2 structure. Source: the Alexandria database, functional PBE.

Output
Calculated volume, Å³ per cell: 78
D(E_F), states/eV/cell: 4.63
Offset from the most stable computed form, kJ/mol of formula units: 222
Energy of formation, eV per atom: 1.332
Energy, eV/atom: -8.01

a = 6.3790 Å, b = 6.3790 Å, c = 6.3790 Å
α = 156.42°, β = 130.58°, γ = 55.45°
Last column: nearest neighbours and their distance in Å.
Fractional coordinates of all 4 atoms:
W  0.0363  0.0363  0.0000  2 W 2.61, 2 Tc 2.74
W  0.4637  0.4637  0.0000  2 W 2.61, 2 Tc 2.74
Tc  0.2500  0.7500  0.5000  2 Tc 2.61, 4 W 2.74
K  0.7500  0.2500  0.5000  2 K 2.61